Run w
DFT (GGA-PBE) results for a geometry-optimized PuThCd structure.

a b c (Å): 6.256 6.256 6.256
angles (deg): 144.16 144.16 51.59
Positions (direct):
Pu1 0.000 0.000 0.000
Th1 0.671 0.671 0.000
Cd1 0.341 0.341 0.000



Run x
DFT (GGA-PBE) results for a geometry-optimized PuThCd structure.

a b c (Å): 3.442 3.442 8.386
angles (deg): 90.00 90.00 120.00
Positions (direct):
Pu1 0.000 0.000 0.000
Th1 0.333 0.667 0.653
Cd1 0.667 0.333 0.319



Short version: run w is the most stable of them.



Run w
DFT (GGA-PBE) results for a geometry-optimized Pu2TiCd structure.

a b c (Å): 4.276 4.276 4.862
angles (deg): 90.00 90.00 90.00
Positions (direct):
Pu1 0.000 0.500 0.000
Pu2 0.500 0.000 0.000
Ti1 0.000 0.000 0.500
Cd1 0.500 0.500 0.500



Run x
DFT (GGA-PBE) results for a geometry-optimized Pu2TiCd structure.

a b c (Å): 3.925 3.925 6.281
angles (deg): 90.00 90.00 90.00
Positions (direct):
Pu1 0.000 0.000 0.244
Pu2 0.000 0.000 0.756
Ti1 0.500 0.500 0.000
Cd1 0.500 0.500 0.500



Short version: run w is the most stable of them.



Run w
DFT (GGA-PBE) results for a geometry-optimized Y2PuCd structure.

a b c (Å): 3.521 3.521 9.100
angles (deg): 90.00 90.00 90.00
Positions (direct):
Y1 0.000 0.000 0.231
Y2 0.000 0.000 0.769
Pu1 0.500 0.500 0.500
Cd1 0.500 0.500 0.000



Run x
DFT (GGA-PBE) results for a geometry-optimized Y2PuCd structure.

a b c (Å): 5.502 5.502 3.638
angles (deg): 90.00 90.00 90.00
Positions (direct):
Y1 0.000 0.500 0.000
Y2 0.500 0.000 0.000
Pu1 0.000 0.000 0.500
Cd1 0.500 0.500 0.500



Short version: run w is the most stable of them.



Run w
DFT (GGA-PBE) results for a geometry-optimized Y2PuCd structure.

a b c (Å): 5.420 5.420 5.420
angles (deg): 60.00 60.00 60.00
Positions (direct):
Y1 0.250 0.250 0.250
Y2 0.750 0.750 0.750
Pu1 0.000 0.000 0.000
Cd1 0.500 0.500 0.500



Run x
DFT (GGA-PBE) results for a geometry-optimized Y2PuCd structure.

a b c (Å): 11.902 11.902 11.902
angles (deg): 16.58 16.58 16.58
Positions (direct):
Y1 0.094 0.094 0.094
Y2 0.906 0.906 0.906
Pu1 0.000 0.000 0.000
Cd1 0.500 0.500 0.500



Short version: run w is the most stable of them.



Run w
DFT (GGA-PBE) results for a geometry-optimized PuZnCd2 structure.

a b c (Å): 5.050 5.050 5.050
angles (deg): 60.00 60.00 60.00
Positions (direct):
Pu1 0.000 0.000 0.000
Zn1 0.500 0.500 0.500
Cd1 0.250 0.250 0.250
Cd2 0.750 0.750 0.750



Run x
DFT (GGA-PBE) results for a geometry-optimized PuZnCd2 structure.

a b c (Å): 10.736 10.736 10.736
angles (deg): 16.53 16.53 16.53
Positions (direct):
Pu1 0.000 0.000 0.000
Zn1 0.500 0.500 0.500
Cd1 0.243 0.243 0.243
Cd2 0.757 0.757 0.757



Short version: run w is the most stable of them.



Run w
DFT (GGA-PBE) results for a geometry-optimized PuZnCd2 structure.

a b c (Å): 10.686 10.686 10.686
angles (deg): 16.63 16.63 16.63
Positions (direct):
Pu1 0.000 0.000 0.000
Zn1 0.833 0.833 0.833
Cd1 0.243 0.243 0.243
Cd2 0.424 0.424 0.424



Run x
DFT (GGA-PBE) results for a geometry-optimized PuZnCd2 structure.

a b c (Å): 3.158 3.158 8.753
angles (deg): 90.00 90.00 90.00
Positions (direct):
Pu1 0.000 0.000 0.000
Zn1 0.000 0.000 0.500
Cd1 0.500 0.500 0.286
Cd2 0.500 0.500 0.714



Short version: run x is the most stable of them.



Run w
DFT (GGA-PBE) results for a geometry-optimized PuZn2Cd structure.

a b c (Å): 4.866 4.866 4.866
angles (deg): 60.00 60.00 60.00
Positions (direct):
Pu1 0.000 0.000 0.000
Zn1 0.250 0.250 0.250
Zn2 0.750 0.750 0.750
Cd1 0.500 0.500 0.500



Run x
DFT (GGA-PBE) results for a geometry-optimized PuZn2Cd structure.

a b c (Å): 10.467 10.467 10.467
angles (deg): 16.16 16.16 16.16
Positions (direct):
Pu1 0.000 0.000 0.000
Zn1 0.248 0.248 0.248
Zn2 0.752 0.752 0.752
Cd1 0.500 0.500 0.500



Run y
DFT (GGA-PBE) results for a geometry-optimized PuZn2Cd structure.

a b c (Å): 3.097 3.097 8.364
angles (deg): 90.00 90.00 90.00
Positions (direct):
Pu1 0.000 0.000 0.000
Zn1 0.500 0.500 0.266
Zn2 0.500 0.500 0.734
Cd1 0.000 0.000 0.500



Short version: run w is the most stable of them.



Run w
DFT (GGA-PBE) results for a geometry-optimized PuZrCd4 structure.

a b c (Å): 3.091 5.027 8.764
angles (deg): 90.00 90.00 90.00
Positions (direct):
Pu1 0.000 0.000 0.000
Zr1 0.000 0.500 0.500
Cd1 0.500 0.000 0.341
Cd2 0.500 0.000 0.659
Cd3 0.500 0.500 0.176
Cd4 0.500 0.500 0.824



Run x
DFT (GGA-PBE) results for a geometry-optimized PuZrCd4 structure.

a b c (Å): 5.816 5.816 5.816
angles (deg): 60.00 60.00 60.00
Positions (direct):
Pu1 0.000 0.000 0.000
Zr1 0.750 0.750 0.750
Cd1 0.376 0.376 0.376
Cd2 0.376 0.376 0.873
Cd3 0.376 0.873 0.376
Cd4 0.873 0.376 0.376



Short version: run w is the most stable of them.



Run w
DFT (GGA-PBE) results for a geometry-optimized Rb4Cd structure.

a b c (Å): 9.340 9.340 8.322
angles (deg): 90.00 90.00 90.00
Positions (direct):
Rb1 0.170 0.317 0.000
Rb2 0.170 0.683 0.500
Rb3 0.317 0.170 0.500
Rb4 0.317 0.830 0.000
Rb5 0.683 0.170 0.000
Rb6 0.683 0.830 0.500
Rb7 0.830 0.317 0.500
Rb8 0.830 0.683 0.000
Cd1 0.000 0.000 0.250
Cd2 0.000 0.000 0.750



Run x
DFT (GGA-PBE) results for a geometry-optimized Rb4Cd structure.

a b c (Å): 11.174 11.174 11.174
angles (deg): 133.50 133.50 67.87
Positions (direct):
Rb1 0.047 0.178 0.320
Rb2 0.227 0.547 0.369
Rb3 0.322 0.142 0.869
Rb4 0.358 0.727 0.180
Rb5 0.642 0.273 0.820
Rb6 0.678 0.858 0.131
Rb7 0.773 0.453 0.631
Rb8 0.953 0.822 0.680
Cd1 0.375 0.125 0.250
Cd2 0.625 0.875 0.750



Run y
DFT (GGA-PBE) results for a geometry-optimized Rb4Cd structure.

a b c (Å): 7.343 7.343 7.343
angles (deg): 90.00 90.00 90.00
Positions (direct):
Rb1 0.000 0.000 0.000
Rb2 0.000 0.500 0.500
Rb3 0.500 0.000 0.500
Rb4 0.500 0.500 0.000
Cd1 0.500 0.500 0.500



Short version: run x is the most stable of them.



Run w
DFT (GGA-PBE) results for a geometry-optimized RbCdRe2Tc structure.

a b c (Å): 4.742 4.742 6.172
angles (deg): 90.00 90.00 90.00
Positions (direct):
Rb1 0.000 0.000 0.000
Cd1 0.500 0.500 0.000
Re1 0.000 0.500 0.500
Re2 0.500 0.000 0.500
Tc1 0.000 0.000 0.500



Run x
DFT (GGA-PBE) results for a geometry-optimized RbCdRe2Tc structure.

a b c (Å): 4.778 4.778 4.698
angles (deg): 90.00 90.00 90.00
Positions (direct):
Rb1 0.000 0.000 0.000
Cd1 0.500 0.500 0.500
Re1 0.000 0.500 0.000
Re2 0.500 0.000 0.000
Tc1 0.000 0.000 0.500



Run y
DFT (GGA-PBE) results for a geometry-optimized RbCdRe2Tc structure.

a b c (Å): 5.111 5.111 5.648
angles (deg): 90.00 90.00 90.00
Positions (direct):
Rb1 0.000 0.000 0.000
Cd1 0.000 0.000 0.500
Re1 0.000 0.500 0.500
Re2 0.500 0.000 0.500
Tc1 0.500 0.500 0.000



Short version: run w is the most stable of them.



Run w
DFT (GGA-PBE) results for a geometry-optimized RbCd2Rh structure.

a b c (Å): 5.178 5.178 5.178
angles (deg): 60.00 60.00 60.00
Positions (direct):
Rb1 0.000 0.000 0.000
Cd1 0.250 0.250 0.250
Cd2 0.750 0.750 0.750
Rh1 0.500 0.500 0.500



Run x
DFT (GGA-PBE) results for a geometry-optimized RbCd2Rh structure.

a b c (Å): 9.732 9.732 9.732
angles (deg): 145.52 145.52 49.55
Positions (direct):
Rb1 0.375 0.625 0.750
Rb2 0.625 0.375 0.250
Cd1 0.000 0.000 0.000
Cd2 0.000 0.000 0.500
Cd3 0.000 0.500 0.000
Cd4 0.500 0.000 0.500
Rh1 0.125 0.875 0.250
Rh2 0.875 0.125 0.750



Short version: run x is the most stable of them.



Run w
DFT (GGA-PBE) results for a geometry-optimized RbZn2CdRh structure.

a b c (Å): 5.169 5.169 5.266
angles (deg): 90.00 90.00 90.00
Positions (direct):
Rb1 0.000 0.000 0.000
Zn1 0.000 0.500 0.500
Zn2 0.500 0.000 0.500
Cd1 0.500 0.500 0.500
Rh1 0.500 0.500 0.000



Run x
DFT (GGA-PBE) results for a geometry-optimized RbZn2CdRh structure.

a b c (Å): 4.966 4.966 5.295
angles (deg): 90.00 90.00 90.00
Positions (direct):
Rb1 0.000 0.000 0.000
Zn1 0.000 0.500 0.500
Zn2 0.500 0.000 0.500
Cd1 0.500 0.500 0.000
Rh1 0.500 0.500 0.500



Short version: run x is the most stable of them.



Run w
DFT (GGA-PBE) results for a geometry-optimized RbCd3Ru structure.

a b c (Å): 5.317 5.317 5.317
angles (deg): 90.00 90.00 90.00
Positions (direct):
Rb1 0.000 0.000 0.000
Cd1 0.000 0.500 0.500
Cd2 0.500 0.000 0.500
Cd3 0.500 0.500 0.000
Ru1 0.500 0.500 0.500



Run x
DFT (GGA-PBE) results for a geometry-optimized RbCd3Ru structure.

a b c (Å): 6.546 6.546 6.546
angles (deg): 90.00 90.00 90.00
Positions (direct):
Rb1 0.000 0.000 0.000
Cd1 0.000 0.000 0.500
Cd2 0.000 0.500 0.000
Cd3 0.500 0.000 0.000
Ru1 0.500 0.500 0.500



Short version: run w is the most stable of them.